The following is a DFT calculation (PBE) of a geometry-optimized CaCdHgGe structure.

Results
**ρ**: 7.52 g cm⁻³
**Space-group type**: F-43m, No. 216
**Uncorrected energy**: -9.02 eV for the cell shown

abc: 5.103 5.103 5.103
angles: 60.00 60.00 60.00
Fractional positions:
Hg 0.250 0.250 0.250
Ca 0.000 0.000 0.000
Ge 0.750 0.750 0.750
Cd 0.500 0.500 0.500

The following is a DFT calculation (PBE) of a geometry-optimized SrCuBi structure.

Results
**ρ**: 7.08 g cm⁻³
**Space-group type**: P4/nmm, No. 129
**Uncorrected energy**: -18.82 eV for the cell shown

abc: 4.732 4.732 7.544
angles: 90.00 90.00 90.00
Fractional positions:
Cu 0.000 0.500 0.803
Cu 0.500 0.000 0.197
Sr 0.000 0.000 0.500
Sr 0.500 0.500 0.500
Bi 0.500 0.000 0.839
Bi 0.000 0.500 0.161

The following is a DFT calculation (PBE) of a geometry-optimized ErInRuRh structure.

Results
**ρ**: 11.28 g cm⁻³
**E above lowest polymorph**: 0.0 meV/atom
**Space-group type**: Pmmm, No. 47
**Uncorrected energy**: -26.04 eV for the cell shown

abc: 3.432 4.586 4.546
angles: 90.00 90.00 90.00
Fractional positions:
Rh 0.000 0.500 0.500
Er 0.500 0.500 0.000
Ru 0.000 0.000 0.000
In 0.500 0.000 0.500

The following is a DFT calculation (PBE) of a geometry-optimized MnAlOs2 structure.

Results
**ρ**: 13.94 g cm⁻³
**Space-group type**: C2/m, No. 12
**Uncorrected energy**: -35.65 eV for the cell shown

abc: 4.519 4.519 4.763
angles: 79.40 79.40 35.25
Fractional positions:
Mn 0.250 0.250 0.250
Os 0.994 0.994 0.011
Os 0.506 0.506 0.489
Al 0.750 0.750 0.750

The following is a DFT calculation (PBE) of a geometry-optimized YTaCd2 structure.

Results
**ρ**: 8.95 g cm⁻³
**E above lowest polymorph**: 99.9 meV/atom
**Space-group type**: R3m, No. 160
**Uncorrected energy**: -19.28 eV for the cell shown

abc: 10.324 10.324 10.324
angles: 18.00 18.00 18.00
Fractional positions:
Y 0.754 0.754 0.754
Cd 0.997 0.997 0.997
Cd 0.247 0.247 0.247
Ta 0.502 0.502 0.502

The following is a DFT calculation (PBE) of a geometry-optimized SmFeSi3 structure.

Results
**ρ**: 5.91 g cm⁻³
**Raw formation energy**: -0.5921 eV/atom
**Space-group type**: I4mm, No. 107
**Uncorrected energy**: -32.41 eV for the cell shown

abc: 4.103 4.103 5.648
angles: 111.30 111.30 90.00
Fractional positions:
Si 0.254 0.754 0.508
Si 0.754 0.254 0.508
Si 0.427 0.427 0.855
Sm 0.998 0.998 0.996
Fe 0.657 0.657 0.313

The following is a DFT calculation (PBE) of a geometry-optimized LaSm4Hg2 structure.

Results
**ρ**: 7.91 g cm⁻³
**E above lowest polymorph**: 203.6 meV/atom
**Space-group type**: R-3m, No. 166
**Uncorrected energy**: -24.24 eV for the cell shown

abc: 5.095 5.095 11.059
angles: 76.68 76.68 60.00
Fractional positions:
Sm 0.893 0.893 0.322
Sm 0.298 0.298 0.107
Sm 0.702 0.702 0.893
Sm 0.107 0.107 0.678
Hg 0.399 0.399 0.803
Hg 0.601 0.601 0.197
La 0.500 0.500 0.500

The following is a DFT calculation (PBE) of a geometry-optimized NaSrAl2Au5 structure.

Results
**ρ**: 9.67 g cm⁻³
**Space-group type**: P4/mmm, No. 123
**Uncorrected energy**: -30.66 eV for the cell shown

abc: 4.893 4.893 8.243
angles: 90.00 90.00 90.00
Fractional positions:
Au 0.000 0.500 0.255
Au 0.500 0.000 0.745
Au 0.500 0.500 0.500
Au 0.000 0.500 0.745
Au 0.500 0.000 0.255
Na 0.000 0.000 0.000
Al 0.500 0.500 0.837
Al 0.500 0.500 0.163
Sr 0.000 0.000 0.500